1.
DFT (GGA-PBE) results for a relaxed Pm2ZnCdO5 crystal.

Geometry as CIF:
```
data_Pm2ZnCdO5
_chemical_formula_sum 'Pm4 Zn2 Cd2 O10'
_symmetry_space_group_name_H-M 'P 4/m b m'
_symmetry_Int_Tables_number 127
_symmetry_space_group_name_Hall '-P 4 2ab'
_cell_length_a 6.6431
_cell_length_b 6.6431
_cell_length_c 5.8108
_cell_angle_alpha 90.00
_cell_angle_beta 90.00
_cell_angle_gamma 90.00
loop_
_atom_site_label
_atom_site_fract_x
_atom_site_fract_y
_atom_site_fract_z
Pm1 0.1714 0.3286 0.0000
Zn1 0.0000 0.5000 0.5000
Cd1 0.0000 0.0000 0.5000
O1 0.0000 0.0000 0.0000
O2 0.1460 0.6460 0.2567
```

Computed properties:
V ... 256.4 Å³ per cell
Formation energy (no corrections) ... -206.05 kJ per mole of atoms
E_tot ... -111.402 eV per cell

2.
DFT (GGA-PBE) results for a relaxed La2Co2Ag crystal.

Geometry as CIF:
```
data_La2Co2Ag
_chemical_formula_sum 'La4 Co4 Ag2'
_symmetry_space_group_name_H-M 'I 4/m m m'
_symmetry_Int_Tables_number 139
_symmetry_space_group_name_Hall '-I 4 2'
_cell_length_a 5.3705
_cell_length_b 5.3705
_cell_length_c 7.7524
_cell_angle_alpha 90.00
_cell_angle_beta 90.00
_cell_angle_gamma 90.00
loop_
_atom_site_label
_atom_site_fract_x
_atom_site_fract_y
_atom_site_fract_z
La1 0.0000 0.5000 0.2500
Co1 0.0000 0.0000 0.1513
Ag1 0.0000 0.0000 0.5000
```

Computed properties:
Excess energy over the best structure of this formula in the dataset ... 0.224 eV per atom
V ... 223.6 Å³ per cell
Formation energy from the elements ... 0.06 eV per atom
E_tot ... -53.190 eV per cell

3.
DFT (GGA-PBE) results for a relaxed K2ZnRh crystal.

Geometry as CIF:
```
data_K2ZnRh
_chemical_formula_sum 'K4 Zn2 Rh2'
_symmetry_space_group_name_H-M 'A m m 2'
_symmetry_Int_Tables_number 38
_cell_length_a 4.4836
_cell_length_b 5.2539
_cell_length_c 11.0574
_cell_angle_alpha 90.00
_cell_angle_beta 90.00
_cell_angle_gamma 90.00
loop_
_symmetry_equiv_pos_as_xyz
'x,y,z'
'-x,-y,z'
'-x,y,z'
'x,-y,z'
'x,y+1/2,z+1/2'
'-x,-y+1/2,z+1/2'
'-x,y+1/2,z+1/2'
'x,-y+1/2,z+1/2'
loop_
_atom_site_label
_atom_site_fract_x
_atom_site_fract_y
_atom_site_fract_z
K1 0.0000 0.0000 0.0000
K2 0.5000 0.0000 0.2957
Zn1 0.5000 0.0000 0.6095
Rh1 0.0000 0.0000 0.6876
```

Computed properties:
V ... 260.5 Å³ per cell
Formation energy from the elements ... 0.24 eV per atom
E_tot ... -19.753 eV per cell

4.
DFT (GGA-PBE) results for a relaxed Mg5Zn5Rh2 crystal.

Geometry as CIF:
```
data_Mg5Zn5Rh2
_chemical_formula_sum 'Mg10 Zn10 Rh4'
_symmetry_space_group_name_H-M 'C 1 2/m 1'
_symmetry_Int_Tables_number 12
_cell_length_a 7.6747
_cell_length_b 4.4687
_cell_length_c 12.3811
_cell_angle_alpha 90.00
_cell_angle_beta 103.69
_cell_angle_gamma 90.00
loop_
_symmetry_equiv_pos_as_xyz
'x,y,z'
'-x,-y,-z'
'-x,y,-z'
'x,-y,z'
'x+1/2,y+1/2,z'
'-x+1/2,-y+1/2,-z'
'-x+1/2,y+1/2,-z'
'x+1/2,-y+1/2,z'
loop_
_atom_site_label
_atom_site_fract_x
_atom_site_fract_y
_atom_site_fract_z
Mg1 0.0000 0.0000 0.0000
Mg2 0.1917 0.0000 0.5963
Mg3 0.2305 0.5000 0.1684
Zn1 0.0000 0.5000 0.5000
Zn2 0.1064 0.0000 0.2904
Zn3 0.1395 0.5000 0.9300
Rh1 0.0586 0.5000 0.7110
```

Computed properties:
V ... 412.6 Å³ per cell
Formation energy from the elements ... -0.27 eV per atom
E_tot ... -64.487 eV per cell

5.
DFT (GGA-PBE) results for a relaxed Nd4AgHg5 crystal.

Geometry as CIF:
```
data_Nd4AgHg5
_chemical_formula_sum 'Nd4 Ag1 Hg5'
_symmetry_space_group_name_H-M 'P 4/m m m'
_symmetry_Int_Tables_number 123
_symmetry_space_group_name_Hall '-P 4 2'
_cell_length_a 3.7910
_cell_length_b 3.7910
_cell_length_c 18.5460
_cell_angle_alpha 90.00
_cell_angle_beta 90.00
_cell_angle_gamma 90.00
loop_
_atom_site_label
_atom_site_fract_x
_atom_site_fract_y
_atom_site_fract_z
Nd1 0.0000 0.0000 0.1055
Nd2 0.0000 0.0000 0.3147
Ag1 0.0000 0.0000 0.5000
Hg1 0.5000 0.5000 0.0000
Hg2 0.5000 0.5000 0.2081
Hg3 0.5000 0.5000 0.4157
```

Computed properties:
Excess energy over the best structure of this formula in the dataset ... 0.027 eV per atom
V ... 266.5 Å³ per cell
Formation energy from the elements ... -0.38 eV per atom
E_tot ... -27.209 eV per cell

6.
DFT (GGA-PBE) results for a relaxed Cs2RbSrRu crystal.

Geometry as CIF:
```
data_Cs2RbSrRu
_chemical_formula_sum 'Cs2 Rb1 Sr1 Ru1'
_symmetry_space_group_name_H-M 'P 4/m m m'
_symmetry_Int_Tables_number 123
_symmetry_space_group_name_Hall '-P 4 2'
_cell_length_a 7.2701
_cell_length_b 7.2701
_cell_length_c 5.2018
_cell_angle_alpha 90.00
_cell_angle_beta 90.00
_cell_angle_gamma 90.00
loop_
_atom_site_label
_atom_site_fract_x
_atom_site_fract_y
_atom_site_fract_z
Cs1 0.0000 0.5000 0.0000
Rb1 0.0000 0.0000 0.0000
Sr1 0.5000 0.5000 0.5000
Ru1 0.0000 0.0000 0.5000
```

Computed properties:
V ... 274.9 Å³ per cell
Formation energy from the elements ... 1.17 eV per atom
E_tot ... -7.789 eV per cell

7.
DFT (GGA-PBE) results for a relaxed PmPH2Rh crystal.

Geometry as CIF:
```
data_PmPH2Rh
_chemical_formula_sum 'Pm4 P4 H8 Rh4'
_symmetry_space_group_name_H-M 'C m c m'
_symmetry_Int_Tables_number 63
_symmetry_space_group_name_Hall '-C 2c 2'
_cell_length_a 3.7331
_cell_length_b 10.1564
_cell_length_c 6.6705
_cell_angle_alpha 90.00
_cell_angle_beta 90.00
_cell_angle_gamma 90.00
loop_
_atom_site_label
_atom_site_fract_x
_atom_site_fract_y
_atom_site_fract_z
Pm1 0.0000 0.2219 0.2500
P1 0.0000 0.0554 0.7500
H1 0.0000 0.3340 0.5550
Rh1 0.0000 0.5000 0.0000
```

Computed properties:
V ... 252.9 Å³ per cell
E_tot ... -111.494 eV per cell

8.
DFT (GGA-PBE) results for a relaxed Pr2Ni4Sb3Ir crystal.

Geometry as CIF:
```
data_Pr2Ni4Sb3Ir
_chemical_formula_sum 'Pr2 Ni4 Sb3 Ir1'
_symmetry_space_group_name_H-M 'P -4 m 2'
_symmetry_Int_Tables_number 115
_cell_length_a 4.3054
_cell_length_b 4.3054
_cell_length_c 10.3779
_cell_angle_alpha 90.00
_cell_angle_beta 90.00
_cell_angle_gamma 90.00
loop_
_symmetry_equiv_pos_as_xyz
'x,y,z'
'y,-x,-z'
'-x,-y,z'
'-y,x,-z'
'-x,y,z'
'-y,-x,-z'
'x,-y,z'
'y,x,-z'
loop_
_atom_site_label
_atom_site_fract_x
_atom_site_fract_y
_atom_site_fract_z
Pr1 0.0000 0.5000 0.2468
Ni1 0.0000 0.0000 0.5000
Ni2 0.0000 0.5000 0.8702
Ni3 0.5000 0.5000 0.5000
Sb1 0.0000 0.0000 0.0000
Sb2 0.0000 0.5000 0.6286
Ir1 0.5000 0.5000 0.0000
```

Computed properties:
V ... 192.4 Å³ per cell
Formation energy (no corrections) ... -52.54 kJ per mole of atoms
E_tot ... -59.358 eV per cell

9.
DFT (GGA-PBE) results for a relaxed BeZnTe2 crystal.

Geometry as CIF:
```
data_BeZnTe2
_chemical_formula_sum 'Be1 Zn1 Te2'
_symmetry_space_group_name_H-M 'P 3 m 1'
_symmetry_Int_Tables_number 156
_cell_length_a 4.1502
_cell_length_b 4.1502
_cell_length_c 6.8423
_cell_angle_alpha 90.00
_cell_angle_beta 90.00
_cell_angle_gamma 120.00
loop_
_symmetry_equiv_pos_as_xyz
'x,y,z'
'-y,x-y,z'
'-x+y,-x,z'
'-y,-x,z'
'-x+y,y,z'
'x,x-y,z'
loop_
_atom_site_label
_atom_site_fract_x
_atom_site_fract_y
_atom_site_fract_z
Be1 0.0000 0.0000 0.0000
Zn1 0.6667 0.3333 0.5053
Te1 0.0000 0.0000 0.3634
Te2 0.3333 0.6667 0.8855
```

Computed properties:
Excess energy over the best structure of this formula in the dataset ... 0.190 eV per atom
V ... 102.1 Å³ per cell
Formation energy (no corrections) ... -20.91 kJ per mole of atoms
E_tot ... -12.150 eV per cell

10.
DFT (GGA-PBE) results for a relaxed NaLiCaCd crystal.

Geometry as CIF:
```
data_NaLiCaCd
_chemical_formula_sum 'Na4 Li4 Ca4 Cd4'
_symmetry_space_group_name_H-M 'F -4 3 m'
_symmetry_Int_Tables_number 216
_symmetry_space_group_name_Hall 'F -4 2 3'
_cell_length_a 7.5910
_cell_length_b 7.5910
_cell_length_c 7.5910
_cell_angle_alpha 90.00
_cell_angle_beta 90.00
_cell_angle_gamma 90.00
loop_
_atom_site_label
_atom_site_fract_x
_atom_site_fract_y
_atom_site_fract_z
Na1 0.0000 0.0000 0.0000
Li1 0.2500 0.2500 0.2500
Ca1 0.2500 0.2500 0.7500
Cd1 0.0000 0.0000 0.5000
```

Computed properties:
V ... 437.4 Å³ per cell
Formation energy from the elements ... -0.08 eV per atom
E_tot ... -25.850 eV per cell

11.
DFT (GGA-PBE) results for a relaxed CaCrCo2 crystal.

Geometry as CIF:
```
data_CaCrCo2
_chemical_formula_sum 'Ca2 Cr2 Co4'
_symmetry_space_group_name_H-M 'I -4 m 2'
_symmetry_Int_Tables_number 119
_symmetry_space_group_name_Hall 'I -4 -2'
_cell_length_a 3.9114
_cell_length_b 3.9114
_cell_length_c 8.2282
_cell_angle_alpha 90.00
_cell_angle_beta 90.00
_cell_angle_gamma 90.00
loop_
_atom_site_label
_atom_site_fract_x
_atom_site_fract_y
_atom_site_fract_z
Ca1 0.0000 0.0000 0.0000
Cr1 0.0000 0.5000 0.2500
Co1 0.0000 0.0000 0.5000
Co2 0.0000 0.5000 0.7500
```

Computed properties:
Excess energy over the best structure of this formula in the dataset ... 0.422 eV per atom
V ... 125.9 Å³ per cell
Formation energy from the elements ... 0.69 eV per atom
E_tot ... -46.122 eV per cell

12.
DFT (GGA-PBE) results for a relaxed Sc2CdSb crystal.

Geometry as CIF:
```
data_Sc2CdSb
_chemical_formula_sum 'Sc2 Cd1 Sb1'
_symmetry_space_group_name_H-M 'P 4/m m m'
_symmetry_Int_Tables_number 123
_symmetry_space_group_name_Hall '-P 4 2'
_cell_length_a 4.7345
_cell_length_b 4.7345
_cell_length_c 4.0065
_cell_angle_alpha 90.00
_cell_angle_beta 90.00
_cell_angle_gamma 90.00
loop_
_atom_site_label
_atom_site_fract_x
_atom_site_fract_y
_atom_site_fract_z
Sc1 0.0000 0.5000 0.0000
Cd1 0.0000 0.0000 0.5000
Sb1 0.5000 0.5000 0.5000
```

Computed properties:
Excess energy over the best structure of this formula in the dataset ... 0.029 eV per atom
V ... 89.8 Å³ per cell
Formation energy (no corrections) ... -47.00 kJ per mole of atoms
E_tot ... -19.649 eV per cell

13.
DFT (GGA-PBE) results for a relaxed La3Si2Ni3 crystal.

Geometry as CIF:
```
data_La3Si2Ni3
_chemical_formula_sum 'La12 Si8 Ni12'
_symmetry_space_group_name_H-M 'P n m a'
_symmetry_Int_Tables_number 62
_cell_length_a 7.5164
_cell_length_b 14.0519
_cell_length_c 6.2062
_cell_angle_alpha 90.00
_cell_angle_beta 90.00
_cell_angle_gamma 90.00
loop_
_symmetry_equiv_pos_as_xyz
'x,y,z'
'-x,-y,-z'
'-x+1/2,-y,z+1/2'
'x+1/2,y,-z+1/2'
'x+1/2,-y+1/2,-z+1/2'
'-x+1/2,y+1/2,z+1/2'
'-x,y+1/2,-z'
'x,-y+1/2,z'
loop_
_atom_site_label
_atom_site_fract_x
_atom_site_fract_y
_atom_site_fract_z
La1 0.0226 0.1061 0.1381
La2 0.1098 0.7500 0.3755
Si1 0.1756 0.0861 0.6325
Ni1 0.1232 0.5407 0.3931
Ni2 0.2273 0.2500 0.4491
```

Computed properties:
V ... 655.5 Å³ per cell
Formation energy (no corrections) ... -63.55 kJ per mole of atoms
E_tot ... -192.967 eV per cell

14.
DFT (GGA-PBE) results for a relaxed MgZnCu2Si crystal.

Geometry as CIF:
```
data_MgZnCu2Si
_chemical_formula_sum 'Mg1 Zn1 Cu2 Si1'
_symmetry_space_group_name_H-M 'P 4/m m m'
_symmetry_Int_Tables_number 123
_symmetry_space_group_name_Hall '-P 4 2'
_cell_length_a 4.4714
_cell_length_b 4.4714
_cell_length_c 5.0297
_cell_angle_alpha 90.00
_cell_angle_beta 90.00
_cell_angle_gamma 90.00
loop_
_atom_site_label
_atom_site_fract_x
_atom_site_fract_y
_atom_site_fract_z
Mg1 0.0000 0.0000 0.0000
Zn1 0.5000 0.5000 0.0000
Cu1 0.0000 0.5000 0.5000
Si1 0.0000 0.0000 0.5000
```

Computed properties:
V ... 100.6 Å³ per cell
Formation energy (no corrections) ... 35.80 kJ per mole of atoms
E_tot ... -14.629 eV per cell

15.
DFT (GGA-PBE) results for a relaxed Sc2SnPb2 crystal.

Geometry as CIF:
```
data_Sc2SnPb2
_chemical_formula_sum 'Sc4 Sn2 Pb4'
_symmetry_space_group_name_H-M 'P 4/m b m'
_symmetry_Int_Tables_number 127
_symmetry_space_group_name_Hall '-P 4 2ab'
_cell_length_a 8.8552
_cell_length_b 8.8552
_cell_length_c 3.3761
_cell_angle_alpha 90.00
_cell_angle_beta 90.00
_cell_angle_gamma 90.00
loop_
_atom_site_label
_atom_site_fract_x
_atom_site_fract_y
_atom_site_fract_z
Sc1 0.1374 0.3626 0.0000
Sn1 0.0000 0.0000 0.5000
Pb1 0.1598 0.6598 0.5000
```

Computed properties:
Excess energy over the best structure of this formula in the dataset ... 0.116 eV per atom
V ... 264.7 Å³ per cell
Formation energy from the elements ... -0.19 eV per atom
E_tot ... -50.060 eV per cell

16.
DFT (GGA-PBE) results for a relaxed Hf2AlAsRh crystal.

Geometry as CIF:
```
data_Hf2AlAsRh
_chemical_formula_sum 'Hf2 Al1 As1 Rh1'
_symmetry_space_group_name_H-M 'P 4/m m m'
_symmetry_Int_Tables_number 123
_symmetry_space_group_name_Hall '-P 4 2'
_cell_length_a 4.9807
_cell_length_b 4.9807
_cell_length_c 4.4363
_cell_angle_alpha 90.00
_cell_angle_beta 90.00
_cell_angle_gamma 90.00
loop_
_atom_site_label
_atom_site_fract_x
_atom_site_fract_y
_atom_site_fract_z
Hf1 0.0000 0.5000 0.0000
Al1 0.0000 0.0000 0.0000
As1 0.0000 0.0000 0.5000
Rh1 0.5000 0.5000 0.5000
```

Computed properties:
V ... 110.1 Å³ per cell
Formation energy from the elements ... 0.88 eV per atom
E_tot ... -31.258 eV per cell

17.
DFT (GGA-PBE) results for a relaxed EuYLu2 crystal.

Geometry as CIF:
```
data_EuYLu2
_chemical_formula_sum 'Eu1 Y1 Lu2'
_symmetry_space_group_name_H-M 'P 4/m m m'
_symmetry_Int_Tables_number 123
_symmetry_space_group_name_Hall '-P 4 2'
_cell_length_a 5.0599
_cell_length_b 5.0599
_cell_length_c 4.9958
_cell_angle_alpha 90.00
_cell_angle_beta 90.00
_cell_angle_gamma 90.00
loop_
_atom_site_label
_atom_site_fract_x
_atom_site_fract_y
_atom_site_fract_z
Eu1 0.0000 0.0000 0.0000
Y1 0.5000 0.5000 0.0000
Lu1 0.0000 0.5000 0.5000
```

Computed properties:
Excess energy over the best structure of this formula in the dataset ... 0.034 eV per atom
V ... 127.9 Å³ per cell
Formation energy from the elements ... 0.12 eV per atom
E_tot ... -25.317 eV per cell

18.
DFT (GGA-PBE) results for a relaxed Pr3Nd2S8 crystal.

Geometry as CIF:
```
data_Pr3Nd2S8
_chemical_formula_sum 'Pr6 Nd4 S16'
_symmetry_space_group_name_H-M 'C 1 2/m 1'
_symmetry_Int_Tables_number 12
_cell_length_a 14.1848
_cell_length_b 8.3212
_cell_length_c 6.9841
_cell_angle_alpha 90.00
_cell_angle_beta 110.87
_cell_angle_gamma 90.00
loop_
_symmetry_equiv_pos_as_xyz
'x,y,z'
'-x,-y,-z'
'-x,y,-z'
'x,-y,z'
'x+1/2,y+1/2,z'
'-x+1/2,-y+1/2,-z'
'-x+1/2,y+1/2,-z'
'x+1/2,-y+1/2,z'
loop_
_atom_site_label
_atom_site_fract_x
_atom_site_fract_y
_atom_site_fract_z
Pr1 0.0000 0.0000 0.0000
Pr2 0.0000 0.2642 0.5000
Nd1 0.2342 0.5000 0.1524
S1 0.1177 0.0000 0.4361
S2 0.1198 0.5000 0.4079
S3 0.1267 0.2300 0.9163
```

Computed properties:
V ... 770.3 Å³ per cell
Formation energy (no corrections) ... -175.04 kJ per mole of atoms
E_tot ... -160.957 eV per cell

19.
DFT (GGA-PBE) results for a relaxed SmCoSi3Tc crystal.

Geometry as CIF:
```
data_SmCoSi3Tc
_chemical_formula_sum 'Sm4 Co4 Si12 Tc4'
_symmetry_space_group_name_H-M 'C m c m'
_symmetry_Int_Tables_number 63
_symmetry_space_group_name_Hall '-C 2c 2'
_cell_length_a 7.2705
_cell_length_b 10.8318
_cell_length_c 5.5301
_cell_angle_alpha 90.00
_cell_angle_beta 90.00
_cell_angle_gamma 90.00
loop_
_atom_site_label
_atom_site_fract_x
_atom_site_fract_y
_atom_site_fract_z
Sm1 0.0000 0.2432 0.2500
Co1 0.0000 0.0418 0.7500
Si1 0.0000 0.2349 0.7500
Si2 0.2409 0.0000 0.0000
Tc1 0.0000 0.4422 0.7500
```

Computed properties:
V ... 435.5 Å³ per cell
Formation energy (no corrections) ... -38.01 kJ per mole of atoms
E_tot ... -163.296 eV per cell

20.
DFT (GGA-PBE) results for a relaxed HS crystal.

Geometry as CIF:
```
data_HS
_chemical_formula_sum 'H6 S6'
_symmetry_space_group_name_H-M 'P 63/m'
_symmetry_Int_Tables_number 176
_symmetry_space_group_name_Hall '-P 6c'
_cell_length_a 8.9255
_cell_length_b 8.9255
_cell_length_c 2.9330
_cell_angle_alpha 90.00
_cell_angle_beta 90.00
_cell_angle_gamma 120.00
loop_
_atom_site_label
_atom_site_fract_x
_atom_site_fract_y
_atom_site_fract_z
H1 0.9999 0.3313 0.2500
S1 0.0499 0.6236 0.2500
```

Computed properties:
Excess energy over the best structure of this formula in the dataset ... 0.577 eV per atom
V ... 202.4 Å³ per cell
E_tot ... -38.799 eV per cell